[1]
Crystalline BaTi3Ir at its relaxed geometry. Source: Alexandria via LeMat-Bulk, functional PBE-GGA.

Summary:
Excess energy over the best structure of this formula in the dataset   1852 meV per atom
Calculated total energy   -4.838 eV per atom
V   113 Å³ per cell

The structure in extended XYZ format:
```
5
Lattice="4.830 0.000 0.000 0.000 4.830 0.000 0.000 0.000 4.830" Properties=species:S:1:pos:R:3 pbc="T T T"
Ba 0.000 0.000 0.000
Ti 0.000 0.000 2.415
Ti 0.000 2.415 0.000
Ti 2.415 0.000 0.000
Ir 2.415 2.415 2.415
```

---

[2]
Crystalline BaTi2Ir2 at its relaxed geometry. Source: Alexandria via LeMat-Bulk, functional PBE-GGA.

Summary:
Calculated total energy   -7.618 eV per atom
V   108 Å³ per cell

The structure in extended XYZ format:
```
5
Lattice="-2.170 2.170 5.742 2.170 -2.170 5.742 2.170 2.170 -5.742" Properties=species:S:1:pos:R:3 pbc="T T T"
Ba 0.000 0.000 0.000
Ti 2.170 0.000 2.871
Ti 0.000 2.170 2.871
Ir 0.000 0.000 4.243
Ir 0.000 0.000 7.242
```